Entry 1:
VASP calculation (GGA-PBE) on an optimized crystal structure of Sc2Cr2Ni.

Cell and atoms, written as CIF:
```
data_Sc2Cr2Ni
_cell_length_a 6.1954
_cell_length_b 6.1954
_cell_length_c 4.2520
_cell_angle_alpha 90.00
_cell_angle_beta 90.00
_cell_angle_gamma 90.00
_symmetry_space_group_name_H-M 'P 1'
_symmetry_Int_Tables_number 1
loop_
_symmetry_equiv_pos_as_xyz
'x,y,z'
loop_
_atom_site_label
_atom_site_fract_x
_atom_site_fract_y
_atom_site_fract_z
Sc1 0.1800 0.3200 0.0000
Sc2 0.3200 0.8200 0.0000
Sc3 0.6800 0.1800 0.0000
Sc4 0.8200 0.6800 0.0000
Cr1 0.1135 0.6135 0.5000
Cr2 0.3865 0.1135 0.5000
Cr3 0.6135 0.8865 0.5000
Cr4 0.8865 0.3865 0.5000
Ni1 0.0000 0.0000 0.5000
Ni2 0.5000 0.5000 0.5000
```

---

Entry 2:
VASP calculation (GGA-PBE) on an optimized crystal structure of ScCrNi2.

Cell and atoms, written as CIF:
```
data_ScCrNi2
_cell_length_a 6.0874
_cell_length_b 6.0874
_cell_length_c 6.0874
_cell_angle_alpha 90.00
_cell_angle_beta 90.00
_cell_angle_gamma 90.00
_symmetry_space_group_name_H-M 'P 1'
_symmetry_Int_Tables_number 1
loop_
_symmetry_equiv_pos_as_xyz
'x,y,z'
loop_
_atom_site_label
_atom_site_fract_x
_atom_site_fract_y
_atom_site_fract_z
Sc1 0.0000 0.0000 0.0000
Sc2 0.0000 0.5000 0.5000
Sc3 0.5000 0.0000 0.5000
Sc4 0.5000 0.5000 0.0000
Cr1 0.0000 0.0000 0.5000
Cr2 0.0000 0.5000 0.0000
Cr3 0.5000 0.0000 0.0000
Cr4 0.5000 0.5000 0.5000
Ni1 0.2500 0.2500 0.2500
Ni2 0.2500 0.2500 0.7500
Ni3 0.2500 0.7500 0.2500
Ni4 0.2500 0.7500 0.7500
Ni5 0.7500 0.2500 0.2500
Ni6 0.7500 0.2500 0.7500
Ni7 0.7500 0.7500 0.2500
Ni8 0.7500 0.7500 0.7500
```

The energy above the most stable polymorph in this dataset is 0.0132 eV per atom.

---

Number 1: DFT formation energy 18 kJ per mole of atoms. Number 2: DFT formation energy -14 kJ per mole of atoms.